Entry from the Alexandria database: a geometry-optimized YCd12Au6 structure (GGA-PBE).

The structure belongs to space group R-3m (No. 166, hexagonal axes); the cell edges are 12.6747, 12.6747 and 9.2576 Å and the angles 90.00°, 90.00° and 120.00°. The inequivalent atoms are Y at (0.0000, 0.0000, 0.0000), Cd at (0.0000, 0.3865, 0.5000), Cd at (0.0818, 0.1636, 0.2967) and Au at (0.0552, 0.5276, 0.2379).


Entry from the Alexandria database: a geometry-optimized Y2CdAu structure (GGA-PBE).

The structure belongs to space group I-42d (No. 122); the cell edges are 8.057, 8.057 and 6.975 Å and the angles 90.00°, 90.00° and 90.00°. The inequivalent atoms are Y at (0.221, 0.250, 0.125), Cd at (0.000, 0.000, 0.500) and Au at (0.000, 0.000, 0.000).


Entry from the Alexandria database: a geometry-optimized YCd3Au structure (GGA-PBE).

The calculation puts the offset from the most stable computed form at 1.176 eV per atom.

The structure belongs to space group Pm-3m (No. 221); the cell edges are 5.950, 5.950 and 5.950 Å and the angles 90.00°, 90.00° and 90.00°. The inequivalent atoms are Y at (0.000, 0.000, 0.000), Cd at (0.000, 0.000, 0.500) and Au at (0.500, 0.500, 0.500).


Entry from the Alexandria database: a geometry-optimized YCd2Au8 structure (GGA-PBE).

The structure belongs to space group C2/m (No. 12); the cell edges are 15.208, 4.291 and 6.757 Å and the angles 90.00°, 105.67° and 90.00°. The inequivalent atoms are Y at (0.000, 0.000, 0.000), Cd at (0.225, 0.500, 0.648), Au at (0.043, 0.500, 0.723), Au at (0.096, 0.000, 0.459), Au at (0.138, 0.500, 0.190) and Au at (0.182, 0.000, 0.912).


The following calculated formation energy values (in eV/atom) correspond, in order, to the records above: -0.135 -0.224 0.849 -0.325.
The following DFT total energy values (in eV per atom) correspond, in order, to the records above: -2.0879 -4.5037 -1.6479 -3.4624.